No. 1
The following is a DFT calculation (GGA-PBE) of a geometry-optimized K3PaAg2Se6 structure.

Results
The formation energy (no corrections) comes out at -862 meV/atom. As for the volume: 28.34 Å³/atom. The total energy comes out at -4.145 eV per atom.

Unit cell a=7.2780 b=7.2780 c=8.0930 alpha=97.67 beta=97.67 gamma=124.14
Fractional coordinates of all 12 atoms:
K  0.1762  0.8238  0.5000
K  0.8238  0.1762  0.5000
K  0.5000  0.5000  0.5000
Pa  0.0000  0.0000  0.0000
Ag  0.3482  0.6518  0.0000
Ag  0.6518  0.3482  0.0000
Se  0.9139  0.5960  0.8043
Se  0.7587  0.7587  0.2208
Se  0.0861  0.4040  0.1957
Se  0.5960  0.9139  0.8043
Se  0.2413  0.2413  0.7792
Se  0.4040  0.0861  0.1957



No. 2
The following is a DFT calculation (GGA-PBE) of a geometry-optimized K3PaAg2Te6 structure.

Results
The formation energy (no corrections) comes out at -620 meV/atom. As for the volume: 34.23 Å³/atom. The total energy comes out at -3.732 eV per atom.

Unit cell a=7.7342 b=7.7342 c=8.7884 alpha=97.88 beta=97.88 gamma=125.07
Fractional coordinates of all 12 atoms:
K  0.1732  0.8268  0.5000
K  0.8268  0.1732  0.5000
K  0.5000  0.5000  0.5000
Pa  0.0000  0.0000  0.0000
Ag  0.3496  0.6504  0.0000
Ag  0.6504  0.3496  0.0000
Te  0.9164  0.5907  0.8039
Te  0.7510  0.7510  0.2185
Te  0.0836  0.4093  0.1961
Te  0.5907  0.9164  0.8039
Te  0.2490  0.2490  0.7815
Te  0.4093  0.0836  0.1961